No. 1
# Na2PuInS4

A relaxed structure of Na2PuInS4 (GGA-PBE, Alexandria).

abc: 3.959 6.897 7.068
angles: 109.34 90.00 90.00
Each line ends with the local moment (μB).
Atoms (fractional coordinates):
Na (0.500, 0.000, 0.500)  0.00
Na (0.000, 0.500, 0.500)  0.00
Pu (0.500, 0.500, 0.000)  4.99
In (0.000, 0.000, 0.000)  0.04
S (0.500, 0.232, 0.223)  -0.03
S (0.500, 0.768, 0.777)  -0.03
S (0.000, 0.255, 0.772)  -0.07
S (0.000, 0.745, 0.228)  -0.07

Properties
Formation energy (no corrections) in eV/atom: -1.163
Space group: P2/m (10)

---

No. 2
# Na4Pu3InS8

A relaxed structure of Na4Pu3InS8 (GGA-PBE, Alexandria).

abc: 8.043 8.081 8.043
angles: 119.85 120.00 90.00
Each line ends with the local moment (μB).
Atoms (fractional coordinates):
Na (0.500, 0.000, 0.000)  0.00
Na (0.500, 0.000, 0.500)  0.00
Na (0.000, 0.000, 0.000)  0.00
Na (0.000, 0.000, 0.500)  0.00
Pu (0.500, 0.500, 0.000)  5.02
Pu (0.500, 0.500, 0.500)  5.02
Pu (0.000, 0.500, 0.500)  5.02
In (0.000, 0.500, 0.000)  0.08
S (0.239, 0.725, 0.986)  -0.07
S (0.239, 0.725, 0.479)  -0.07
S (0.259, 0.276, 0.517)  -0.11
S (0.747, 0.725, 0.986)  -0.07
S (0.253, 0.275, 0.014)  -0.07
S (0.741, 0.724, 0.483)  -0.11
S (0.761, 0.275, 0.521)  -0.07
S (0.761, 0.275, 0.014)  -0.07

Properties
Formation energy (no corrections) in eV/atom: -1.352
Space group: R-3m (166)

---

No. 3
# Na2PuInSe5

A relaxed structure of Na2PuInSe5 (GGA-PBE, Alexandria).

abc: 4.142 9.087 13.946
angles: 90.00 90.00 103.18
Each line ends with the local moment (μB).
Atoms (fractional coordinates):
Na (0.883, 0.767, 0.821)  0.00
Na (0.092, 0.185, 0.664)  0.00
Na (0.117, 0.233, 0.321)  0.00
Na (0.908, 0.815, 0.164)  0.00
Pu (0.771, 0.543, 0.530)  4.39
Pu (0.229, 0.457, 0.030)  4.39
In (0.562, 0.124, 0.931)  0.00
In (0.438, 0.876, 0.431)  0.00
Se (0.377, 0.754, 0.002)  -0.30
Se (0.715, 0.429, 0.893)  -0.19
Se (0.500, 0.999, 0.769)  -0.07
Se (0.270, 0.541, 0.662)  -0.25
Se (0.935, 0.869, 0.551)  -0.10
Se (0.623, 0.246, 0.502)  -0.30
Se (0.285, 0.571, 0.393)  -0.19
Se (0.500, 0.001, 0.269)  -0.07
Se (0.730, 0.459, 0.162)  -0.25
Se (0.065, 0.131, 0.051)  -0.10

Properties
Formation energy (no corrections) in eV/atom: -0.884
Space group: Cmc2_1 (36)

---

No. 4
# Na2PuInSe4

A relaxed structure of Na2PuInSe4 (GGA-PBE, Alexandria).

abc: 4.130 7.226 7.390
angles: 109.20 90.00 90.00
Each line ends with the local moment (μB).
Atoms (fractional coordinates):
Na (0.500, 0.000, 0.500)  0.00
Na (0.000, 0.500, 0.500)  0.00
Pu (0.500, 0.500, 0.000)  5.03
In (0.000, 0.000, 0.000)  0.04
Se (0.500, 0.234, 0.225)  -0.03
Se (0.500, 0.766, 0.775)  -0.03
Se (0.000, 0.255, 0.769)  -0.08
Se (0.000, 0.745, 0.231)  -0.08

Properties
Formation energy (no corrections) in eV/atom: -1.071
Space group: P2/m (10)

---

No. 5
# Na3Pu2InSe6

A relaxed structure of Na3Pu2InSe6 (GGA-PBE, Alexandria).

abc: 7.236 7.236 7.355
angles: 99.41 99.41 119.99
Each line ends with the local moment (μB).
Atoms (fractional coordinates):
Na (0.165, 0.835, 0.500)  0.00
Na (0.835, 0.165, 0.500)  0.00
Na (0.500, 0.500, 0.500)  0.00
Pu (0.333, 0.667, 0.000)  5.09
Pu (0.667, 0.333, 0.000)  5.09
In (0.000, 0.000, 0.000)  0.09
Se (0.924, 0.595, 0.771)  -0.07
Se (0.747, 0.747, 0.228)  -0.07
Se (0.076, 0.405, 0.229)  -0.07
Se (0.595, 0.924, 0.771)  -0.07
Se (0.253, 0.253, 0.772)  -0.07
Se (0.405, 0.076, 0.229)  -0.07

Properties
Formation energy (no corrections) in eV/atom: -1.178
Space group: C2/m (12)

---

No. 6
# Na4Pu3InSe8

A relaxed structure of Na4Pu3InSe8 (GGA-PBE, Alexandria).

abc: 8.395 8.456 8.395
angles: 119.78 120.00 90.00
Each line ends with the local moment (μB).
Atoms (fractional coordinates):
Na (0.500, 0.000, 0.000)  0.00
Na (0.500, 0.000, 0.500)  0.00
Na (0.000, 0.000, 0.000)  0.00
Na (0.000, 0.000, 0.500)  0.00
Pu (0.500, 0.500, 0.000)  -5.08
Pu (0.500, 0.500, 0.500)  -5.08
Pu (0.000, 0.500, 0.500)  -5.08
In (0.000, 0.500, 0.000)  -0.08
Se (0.241, 0.728, 0.987)  0.07
Se (0.241, 0.728, 0.482)  0.07
Se (0.257, 0.271, 0.514)  0.11
Se (0.746, 0.728, 0.987)  0.07
Se (0.254, 0.272, 0.013)  0.07
Se (0.743, 0.729, 0.486)  0.11
Se (0.759, 0.272, 0.518)  0.07
Se (0.759, 0.272, 0.013)  0.07

Properties
Formation energy (no corrections) in eV/atom: -1.238
Space group: R-3m (166)

---

No. 7
# NaPuInTe3

A relaxed structure of NaPuInTe3 (GGA-PBE, Alexandria).

abc: 4.724 8.737 11.684
angles: 110.21 90.00 90.00
Each line ends with the local moment (μB).
Atoms (fractional coordinates):
Na (0.250, 0.224, 0.159)  0.00
Na (0.750, 0.776, 0.841)  0.00
Pu (0.250, 0.697, 0.136)  5.43
Pu (0.750, 0.303, 0.864)  5.43
In (0.250, 0.088, 0.623)  0.03
In (0.750, 0.912, 0.377)  0.03
Te (0.750, 0.957, 0.144)  -0.03
Te (0.250, 0.043, 0.856)  -0.03
Te (0.250, 0.757, 0.435)  0.00
Te (0.750, 0.243, 0.565)  0.00
Te (0.750, 0.464, 0.148)  -0.08
Te (0.250, 0.536, 0.852)  -0.08

Properties
Formation energy (no corrections) in eV/atom: -0.690
Space group: P2_1/m (11)

---

No. 8
# Na2PuInTe4

A relaxed structure of Na2PuInTe4 (GGA-PBE, Alexandria).

abc: 4.405 7.793 7.932
angles: 108.98 90.00 90.00
Each line ends with the local moment (μB).
Atoms (fractional coordinates):
Na (0.500, 0.000, 0.500)  0.00
Na (0.000, 0.500, 0.500)  0.00
Pu (0.500, 0.500, 0.000)  5.11
In (0.000, 0.000, 0.000)  0.03
Te (0.500, 0.236, 0.226)  -0.05
Te (0.500, 0.764, 0.774)  -0.05
Te (0.000, 0.256, 0.766)  -0.10
Te (0.000, 0.744, 0.234)  -0.10

Properties
Formation energy (no corrections) in eV/atom: -0.761
Space group: P2/m (10)

---

No. 9
# Na4Pu3InTe8

A relaxed structure of Na4Pu3InTe8 (GGA-PBE, Alexandria).

abc: 8.991 9.069 8.991
angles: 119.74 120.00 90.00
Each line ends with the local moment (μB).
Atoms (fractional coordinates):
Na (0.500, 0.000, 0.000)  0.00
Na (0.500, 0.000, 0.500)  0.00
Na (0.000, 0.000, 0.000)  0.00
Na (0.000, 0.000, 0.500)  0.00
Pu (0.500, 0.500, 0.000)  5.16
Pu (0.500, 0.500, 0.500)  5.16
Pu (0.000, 0.500, 0.500)  5.16
In (0.000, 0.500, 0.000)  0.06
Te (0.242, 0.731, 0.989)  -0.09
Te (0.242, 0.731, 0.485)  -0.09
Te (0.256, 0.267, 0.511)  -0.12
Te (0.746, 0.731, 0.989)  -0.09
Te (0.254, 0.269, 0.011)  -0.09
Te (0.744, 0.733, 0.489)  -0.12
Te (0.758, 0.269, 0.515)  -0.09
Te (0.758, 0.269, 0.011)  -0.09

Properties
Formation energy (no corrections) in eV/atom: -0.895
Space group: R-3m (166)

---

No. 10
# Rb2NaIn

A relaxed structure of Rb2NaIn (GGA-PBE, Alexandria).

abc: 10.542 10.542 8.334
angles: 50.77 50.77 90.00
Atoms (fractional coordinates):
Na (0.500, 0.500, 0.000)
Na (0.250, 0.750, 0.500)
Rb (0.640, 0.125, 0.250)
Rb (0.110, 0.625, 0.250)
Rb (0.375, 0.360, 0.750)
Rb (0.875, 0.890, 0.750)
In (0.000, 0.000, 0.000)
In (0.750, 0.250, 0.500)

Properties
Formation enthalpy at 0 K in eV per atom: 0.16
Space group: I-42d (122)

---

No. 11
# RbNaIn2

A relaxed structure of RbNaIn2 (GGA-PBE, Alexandria).

abc: 5.837 5.837 5.837
angles: 60.00 60.00 60.00
Atoms (fractional coordinates):
Na (0.000, 0.000, 0.000)
Rb (0.500, 0.500, 0.500)
In (0.250, 0.250, 0.250)
In (0.750, 0.750, 0.750)

Properties
Formation enthalpy at 0 K in eV per atom: 0.11
Space group: Fm-3m (225)

---

No. 12
# RbNa2In8

A relaxed structure of RbNa2In8 (GGA-PBE, Alexandria).

abc: 4.562 4.562 16.087
angles: 90.00 90.00 89.91
Atoms (fractional coordinates):
Rb (0.000, 0.000, 0.000)
Na (0.000, 0.000, 0.350)
Na (0.000, 0.000, 0.650)
In (0.000, 0.500, 0.500)
In (0.500, 0.000, 0.500)
In (0.500, 0.500, 0.347)
In (0.500, 0.500, 0.653)
In (0.000, 0.500, 0.197)
In (0.500, 0.000, 0.197)
In (0.000, 0.500, 0.803)
In (0.500, 0.000, 0.803)

Properties
Formation enthalpy at 0 K in eV per atom: -0.06
Space group: Cmmm (65)